(1)
VASP calculation (GGA-PBE) on an optimized crystal structure of TcRuAu3.

Summary:
calculated total energy = -4.264 eV per atom
size of the total moment = 6.37 μB/cell
symmetry = Pm-3m, No. 221

abc: 4.993 4.993 4.993
angles: 90.00 90.00 90.00
Last column: magnetic moment on the atom in μB.
Fractional coordinates of all 5 atoms:
Au1 0.500 0.000 0.000  0.05
Au2 0.000 0.000 0.500  0.27
Au3 0.000 0.500 0.000  0.14
Ru1 0.000 0.000 0.000  1.69
Tc1 0.500 0.500 0.500  3.72

***

(2)
VASP calculation (GGA-PBE) on an optimized crystal structure of CeUBi6.

Summary:
calculated total energy = -5.193 eV per atom
size of the total moment = 1.98 μB/cell
symmetry = Amm2, No. 38

abc: 4.681 4.546 12.036
angles: 90.00 101.21 90.00
Last column: magnetic moment on the atom in μB.
Fractional coordinates of all 8 atoms:
Bi1 0.436 0.000 0.871  0.01
Bi2 0.934 0.500 0.869  0.04
Bi3 0.568 0.500 0.136  0.02
Bi4 0.066 0.000 0.133  -0.02
Bi5 0.308 0.500 0.616  0.00
Bi6 0.689 0.000 0.379  -0.06
Ce1 0.826 0.000 0.652  -0.55
U1 0.173 0.500 0.346  2.39

***

(3)
VASP calculation (GGA-PBE) on an optimized crystal structure of LaTmSb2.

Summary:
formation energy (no corrections) = -1063 meV per atom
calculated total energy = -5.474 eV per atom
size of the total moment = 0.00 μB/cell
symmetry = P-3m1, No. 164

abc: 4.444 4.444 7.700
angles: 89.99 90.00 120.00
Fractional coordinates of all 4 atoms:
La1 0.000 0.500 0.500
Tm1 0.000 0.500 0.000
Sb1 0.667 0.833 0.767
Sb2 0.333 0.167 0.233